Entry 1
Crystalline Mg4ZnSe at its relaxed geometry. Source: the Alexandria database, functional GGA-PBE.

The structure in extended XYZ format:
```
12
Lattice="-3.3969 0.4890 0.2964 -1.1784 -3.1398 -8.3251 -0.8637 -7.8729 3.0915" Properties=species:S:1:pos:R:3 pbc="T T T"
Se -1.5708 -8.3640 -4.2021
Se -0.4713 -2.6487 -1.0315
Mg -2.9051 -4.3633 -6.0777
Mg -3.2971 -9.3218 -2.3892
Mg -2.9473 -6.1336 -3.6412
Mg 0.0000 0.0000 0.0000
Mg -0.4318 -3.9365 1.5457
Mg -2.5340 -6.1604 1.1405
Mg -2.4917 -4.3901 -1.2960
Mg -2.1420 -1.2019 -2.5480
Zn -0.9037 -3.8007 -4.0858
Zn -1.1384 -7.2121 -1.1478
```

## Properties
Calculated volume, Å³/cell: 262.9
Space group: No. 51
Size of the total moment, μB/f.u.: 0.0


Entry 2
Crystalline Mg4ZnSe at its relaxed geometry. Source: the Alexandria database, functional GGA-PBE.

The structure in extended XYZ format:
```
6
Lattice="0.2604 -2.2431 5.2833 -1.5264 3.1674 4.5442 -4.8405 -1.2094 2.8493" Properties=species:S:1:pos:R:3 pbc="T T T"
Zn 0.0000 0.0000 0.0000
Mg -3.0532 1.4765 7.0257
Mg -2.1600 -1.2282 7.3952
Mg -2.2901 -0.1069 4.7541
Mg -4.7099 -0.7115 6.1785
Se -4.5799 -0.2138 9.5076
```

## Properties
Calculated volume, Å³/cell: 134.1
Space group: No. 216
Size of the total moment, μB/f.u.: 0.0


Entry 3
Crystalline Mg4ZnSe at its relaxed geometry. Source: the Alexandria database, functional GGA-PBE.

The structure in extended XYZ format:
```
12
Lattice="3.4576 0.0000 0.0000 0.0000 7.6105 0.0000 0.0000 0.0000 10.3300" Properties=species:S:1:pos:R:3 pbc="T T T"
Mg 1.7288 2.4880 4.2436
Mg 1.7288 1.6114 7.7475
Mg 1.7288 2.4880 0.9214
Mg 0.0000 0.0000 0.0000
Mg 0.0000 0.0000 5.1650
Mg 1.7288 5.9991 2.5825
Mg 1.7288 5.1225 9.4086
Mg 1.7288 5.1225 6.0865
Se 0.0000 3.7295 7.7475
Se 0.0000 3.8809 2.5825
Zn 0.0000 0.7108 2.5825
Zn 0.0000 6.8997 7.7475
```

## Properties
Calculated volume, Å³/cell: 271.8
Space group: No. 51
Size of the total moment, μB/f.u.: 0.0


Which of the structures shown above is the most stable? The most stable is entry 1.